# La5Nd4Mg, optimized geometry, DFT PBE-GGA
data_La5Nd4Mg
_symmetry_space_group_name_H-M 'P 1'
_symmetry_Int_Tables_number 1
_symmetry_space_group_name_Hall 'P 1'
_cell_length_a 4.294
_cell_length_b 4.294
_cell_length_c 19.132
_cell_angle_alpha 90.00
_cell_angle_beta 90.00
_cell_angle_gamma 90.00
loop_
_atom_site_label
_atom_site_type_symbol
_atom_site_fract_x
_atom_site_fract_y
_atom_site_fract_z
_atom_site_occupancy
La1 La 0.500 0.500 0.092 1
La2 La 0.500 0.500 0.302 1
La3 La 0.500 0.500 0.500 1
La4 La 0.500 0.500 0.698 1
La5 La 0.500 0.500 0.908 1
Nd1 Nd 0.000 0.000 0.202 1
Nd2 Nd 0.000 0.000 0.399 1
Nd3 Nd 0.000 0.000 0.601 1
Nd4 Nd 0.000 0.000 0.798 1
Mg1 Mg 0.000 0.000 0.000 1
# * ρ: 6.10 Mg/m³
# * calculated volume: 35.28 A^3/atom
# * energy of formation from the pure elements: 0.686 eV per formula unit
# * spin magnetization: 0.00 Bohr magnetons per cell